Entry from the Alexandria database: crystalline RbZrB at its relaxed geometry (PBE).

Cell and atoms, written as POSCAR:
```
RbZrB
1.0
4.467 0.000 0.000
0.000 10.171 0.000
0.000 0.000 4.439
B Rb Zr
2 2 2
Cartesian
0.000 0.022 2.220 B
2.233 10.150 0.000 B
0.000 3.084 0.000 Rb
2.233 7.087 2.220 Rb
0.000 9.475 0.000 Zr
2.233 0.696 2.220 Zr
```

**Space-group type**: Pmmn
**Energy above the most stable polymorph in this dataset**: 299 meV/atom
**Energy relative to the elements**: 0.2975 eV per atom
**Total moment**: 0.0 μB per cell